# 1
A plane-wave DFT calculation with meta-GGA SCAN was carried out for CaLaAl at its PBEsol-relaxed geometry.

```
CaLaAl
1.0
5.400 0.000 0.000
-2.700 4.677 0.000
0.000 0.000 6.849
Ca La Al
2 2 2
Direct
0.000 0.000 0.000
0.000 0.000 0.500
0.333 0.667 0.250
0.667 0.333 0.750
0.333 0.667 0.750
0.667 0.333 0.250
```

crystal system = hexagonal
energy relative to the elements = -0.324 eV/atom
DOS(E_F) = 1.27 states/eV/cell
magnetic moment = 0.0000 μB per atom

---

# 2
A plane-wave DFT calculation with meta-GGA SCAN was carried out for Mg2AlZn at its PBEsol-relaxed geometry.

```
Mg2AlZn
1.0
9.958 0.000 0.000
0.000 2.997 0.000
-1.225 0.000 4.951
Mg Al Zn
4 2 2
Direct
0.000 0.000 0.000
0.224 0.000 0.692
0.500 0.500 0.000
0.724 0.500 0.692
0.258 0.500 0.213
0.758 0.000 0.213
0.475 0.000 0.493
0.975 0.500 0.493
```

crystal system = monoclinic
energy relative to the elements = -0.023 eV/atom
DOS(E_F) = 2.88 states/eV/cell
magnetic moment = 0.0094 μB per atom